No. 1
## LiZrSiN3 (GGA-PBE)

Data for LiZrSiN3 after structural relaxation.

a = 5.976 Å, b = 3.136 Å, c = 8.654 Å
α = 90.00°, β = 91.31°, γ = 90.00°
Fractional positions:
Li (0.114, 0.250, 0.338)
Li (0.886, 0.750, 0.662)
Zr (0.392, 0.750, 0.635)
Zr (0.608, 0.250, 0.365)
Si (0.115, 0.250, 0.917)
Si (0.885, 0.750, 0.083)
N (0.167, 0.250, 0.724)
N (0.169, 0.750, 0.009)
N (0.357, 0.750, 0.399)
N (0.643, 0.250, 0.601)
N (0.831, 0.250, 0.991)
N (0.833, 0.750, 0.276)

space-group type = P2_1/m
N(E_F) = 0.0 states/eV per cell
formation energy (no corrections) = -0.976 eV per atom
theoretical density = 3.45 Mg/m³

No. 2
## Li2Sm4N (GGA-PBE)

Data for Li2Sm4N after structural relaxation.

a = 8.213 Å, b = 8.213 Å, c = 8.213 Å
α = 144.62°, β = 144.62°, γ = 50.89°
Fractional positions:
Li (0.133, 0.133, 0.000)
Li (0.867, 0.867, 0.000)
Sm (0.000, 0.500, 0.500)
Sm (0.337, 0.337, 0.000)
Sm (0.500, 0.000, 0.500)
Sm (0.663, 0.663, 0.000)
N (0.500, 0.500, 0.000)

space-group type = I4/mmm
N(E_F) = 8.2 states/eV per cell
formation energy (no corrections) = -0.213 eV per atom
theoretical density = 5.66 Mg/m³

No. 3
## LiSmTa2N4 (GGA-PBE)

Data for LiSmTa2N4 after structural relaxation.

a = 5.469 Å, b = 5.469 Å, c = 10.643 Å
α = 90.00°, β = 90.00°, γ = 145.50°
Fractional positions:
Li (0.161, 0.839, 0.750)
Li (0.839, 0.161, 0.250)
Sm (0.112, 0.888, 0.250)
Sm (0.888, 0.112, 0.750)
Ta (0.375, 0.625, 0.054)
Ta (0.375, 0.625, 0.446)
Ta (0.625, 0.375, 0.554)
Ta (0.625, 0.375, 0.946)
N (0.000, 0.000, 0.000)
N (0.000, 0.000, 0.500)
N (0.267, 0.733, 0.609)
N (0.267, 0.733, 0.891)
N (0.434, 0.566, 0.250)
N (0.566, 0.434, 0.750)
N (0.733, 0.267, 0.109)
N (0.733, 0.267, 0.391)

space-group type = Cmcm
N(E_F) = 3.1 states/eV per cell
formation energy (no corrections) = -1.154 eV per atom
theoretical density = 10.60 Mg/m³

No. 4
## LiSmTa4N8 (GGA-PBE)

Data for LiSmTa4N8 after structural relaxation.

a = 6.392 Å, b = 6.392 Å, c = 6.392 Å
α = 59.59°, β = 59.59°, γ = 59.59°
Fractional positions:
Li (0.000, 0.000, 0.000)
Sm (0.621, 0.621, 0.621)
Ta (0.379, 0.379, 0.379)
Ta (0.517, 0.998, 0.998)
Ta (0.998, 0.517, 0.998)
Ta (0.998, 0.998, 0.517)
N (0.192, 0.760, 0.760)
N (0.244, 0.244, 0.244)
N (0.262, 0.262, 0.755)
N (0.262, 0.755, 0.262)
N (0.755, 0.262, 0.262)
N (0.760, 0.192, 0.760)
N (0.760, 0.760, 0.192)
N (0.766, 0.766, 0.766)

space-group type = R3m
formation energy (no corrections) = -0.997 eV per atom
theoretical density = 9.02 Mg/m³

No. 5
## Li2Sm4Te3N2 (GGA-PBE)

Data for Li2Sm4Te3N2 after structural relaxation.

a = 12.202 Å, b = 12.202 Å, c = 12.202 Å
α = 157.14°, β = 157.14°, γ = 32.56°
Fractional positions:
Li (0.192, 0.192, 0.000)
Li (0.808, 0.808, 0.000)
Sm (0.094, 0.594, 0.500)
Sm (0.406, 0.906, 0.500)
Sm (0.594, 0.094, 0.500)
Sm (0.906, 0.406, 0.500)
Te (0.313, 0.313, 0.000)
Te (0.500, 0.500, 0.000)
Te (0.687, 0.687, 0.000)
N (0.104, 0.104, 0.000)
N (0.896, 0.896, 0.000)

space-group type = I4/mmm
N(E_F) = 3.5 states/eV per cell
formation energy (no corrections) = -1.123 eV per atom
theoretical density = 6.22 Mg/m³

No. 6
## LiSmTh2N4 (GGA-PBE)

Data for LiSmTh2N4 after structural relaxation.

a = 6.150 Å, b = 6.150 Å, c = 11.843 Å
α = 90.00°, β = 90.00°, γ = 145.70°
Fractional positions:
Li (0.163, 0.837, 0.750)
Li (0.837, 0.163, 0.250)
Sm (0.101, 0.899, 0.250)
Sm (0.899, 0.101, 0.750)
Th (0.368, 0.632, 0.061)
Th (0.368, 0.632, 0.439)
Th (0.632, 0.368, 0.561)
Th (0.632, 0.368, 0.939)
N (0.000, 0.000, 0.000)
N (0.000, 0.000, 0.500)
N (0.261, 0.739, 0.615)
N (0.261, 0.739, 0.885)
N (0.459, 0.541, 0.250)
N (0.541, 0.459, 0.750)
N (0.739, 0.261, 0.115)
N (0.739, 0.261, 0.385)

space-group type = Cmcm
formation energy (no corrections) = -1.317 eV per atom
theoretical density = 8.91 Mg/m³

No. 7
## LiSmZr2N4 (GGA-PBE)

Data for LiSmZr2N4 after structural relaxation.

a = 5.657 Å, b = 5.657 Å, c = 11.097 Å
α = 90.00°, β = 90.00°, γ = 146.06°
Fractional positions:
Li (0.157, 0.843, 0.750)
Li (0.843, 0.157, 0.250)
Sm (0.106, 0.894, 0.250)
Sm (0.894, 0.106, 0.750)
Zr (0.366, 0.634, 0.058)
Zr (0.366, 0.634, 0.442)
Zr (0.634, 0.366, 0.558)
Zr (0.634, 0.366, 0.942)
N (0.000, 0.000, 0.000)
N (0.000, 0.000, 0.500)
N (0.263, 0.737, 0.612)
N (0.263, 0.737, 0.888)
N (0.444, 0.556, 0.250)
N (0.556, 0.444, 0.750)
N (0.737, 0.263, 0.112)
N (0.737, 0.263, 0.388)

space-group type = Cmcm
N(E_F) = 1.0 states/eV per cell
formation energy (no corrections) = -1.424 eV per atom
theoretical density = 6.63 Mg/m³

No. 8
## LiSn3N (GGA-PBE)

Data for LiSn3N after structural relaxation.

a = 4.819 Å, b = 4.819 Å, c = 4.819 Å
α = 90.00°, β = 90.00°, γ = 90.00°
Fractional positions:
Li (0.000, 0.000, 0.000)
Sn (0.000, 0.000, 0.500)
Sn (0.000, 0.500, 0.000)
Sn (0.500, 0.000, 0.000)
N (0.500, 0.500, 0.500)

space-group type = Pm-3m
N(E_F) = 2.3 states/eV per cell
formation energy (no corrections) = 1.150 eV per atom
theoretical density = 5.60 Mg/m³